1.
Density functional theory data (PBE) for an optimized crystal structure of Tl3In3Pb5.

```
11
Lattice="11.031 0.000 0.000 -5.515 9.553 0.000 0.000 0.000 3.347" Properties=species:S:1:pos:R:3 pbc="T T T"
Tl -3.266 5.657 0.000
Tl 2.249 3.896 0.000
Tl 6.532 0.000 0.000
In -4.629 8.018 1.674
In 0.886 1.535 1.674
In 9.258 0.000 1.674
Pb -1.839 3.185 1.674
Pb 3.678 0.000 1.674
Pb 0.000 6.368 1.674
Pb 5.515 3.184 1.674
Pb 3.676 6.367 1.674
```


2.
11
Lattice="-3.945 3.945 6.055 3.945 -3.945 6.055 3.945 3.945 -6.055" Properties=species:S:1:pos:R:3 comment="PBE TlIn4Pb6, optimized geometry" polymorph_energy_ev_per_fu=0.404 pbc="T T T"
Tl 0.000 0.000 0.000
In 1.995 1.995 -1.627
In 1.950 -1.950 7.683
In 1.950 1.950 4.428
In -1.950 1.950 7.683
Pb 3.945 0.000 0.000
Pb 1.194 -1.194 4.449
Pb 2.751 2.751 1.606
Pb 0.000 3.945 0.000
Pb -1.194 1.194 4.449
Pb 1.194 1.194 7.661


3.
Density functional theory data (PBE) for an optimized crystal structure of Tl4InPb10.

```
15
Lattice="-5.426 5.426 4.400 5.426 -5.426 4.400 5.426 5.426 -4.400" Properties=species:S:1:pos:R:3 pbc="T T T"
Tl 2.468 0.650 0.000
Tl 4.776 -2.958 4.400
Tl 0.650 8.384 0.000
Tl 2.958 4.776 4.400
In 0.000 0.000 4.400
Pb 4.242 3.014 -1.690
Pb 2.412 -1.183 2.710
Pb 5.426 0.000 2.200
Pb 3.014 6.609 -1.690
Pb 4.242 3.014 1.690
Pb 1.183 2.412 2.710
Pb 2.412 -1.183 6.090
Pb 0.000 5.426 2.200
Pb 3.014 6.609 1.690
Pb 1.183 2.412 6.090
```


4.
4
Lattice="3.401 -5.530 0.000 3.401 5.530 0.000 -1.184 0.000 3.131" Properties=species:S:1:pos:R:3 comment="PBE TlIn2Pb, optimized geometry" polymorph_energy_ev_per_fu=0.147 pbc="T T T"
Tl 0.000 0.000 0.000
In 1.109 2.765 1.566
In 1.109 -2.765 1.566
Pb 3.401 0.000 0.000


5.
4
Lattice="-2.519 2.519 4.803 2.519 -2.519 4.803 2.519 2.519 -4.803" Properties=species:S:1:pos:R:3 comment="PBE TlInPb2, optimized geometry" polymorph_energy_ev_per_fu=0.038 pbc="T T T"
Tl 0.000 0.000 0.000
In 2.519 0.000 2.402
Pb 0.000 0.000 4.803
Pb 0.000 2.519 2.402


6.
Density functional theory data (PBE) for an optimized crystal structure of TlIn12Pb7.

```
20
Lattice="7.324 4.229 3.228 -7.324 4.229 3.228 0.000 -8.457 3.228" Properties=species:S:1:pos:R:3 pbc="T T T"
Tl 0.000 0.000 0.000
In -2.034 -2.091 2.499
In -3.121 0.598 4.032
In -0.794 2.807 2.499
In -2.078 -2.404 5.652
In 1.043 -3.002 4.032
In 2.828 -0.715 2.499
In -2.828 0.715 7.185
In -1.043 3.002 5.652
In 2.078 2.404 4.032
In 0.794 -2.807 7.185
In 3.121 -0.598 5.652
In 2.034 2.091 7.185
Pb -6.318 1.080 3.986
Pb -4.095 -4.932 5.697
Pb 2.224 -6.012 3.986
Pb 0.000 0.000 4.842
Pb -2.224 6.012 5.697
Pb 4.095 4.932 3.986
Pb 6.318 -1.080 5.697
```


7.
11
Lattice="4.937 0.000 0.000 0.000 4.937 0.000 0.000 0.000 14.410" Properties=species:S:1:pos:R:3 comment="PBE Tl2InPb8, optimized geometry" polymorph_energy_ev_per_fu=0.234 pbc="T T T"
Tl 0.000 0.000 2.527
Tl 0.000 0.000 11.883
In 0.000 0.000 7.205
Pb 0.000 2.468 0.000
Pb 0.000 2.468 5.117
Pb 0.000 2.468 9.293
Pb 2.468 0.000 0.000
Pb 2.468 0.000 5.117
Pb 2.468 0.000 9.293
Pb 2.468 2.468 2.583
Pb 2.468 2.468 11.827


8.
Density functional theory data (PBE) for an optimized crystal structure of Tl2In7Pb2.

```
11
Lattice="5.650 -5.199 0.000 5.650 5.199 0.000 -2.739 0.000 5.538" Properties=species:S:1:pos:R:3 pbc="T T T"
Tl 0.180 0.000 1.700
Tl 8.382 0.000 3.839
In 2.771 2.571 1.895
In 0.098 0.000 5.303
In 5.791 2.571 3.644
In 4.281 0.000 2.769
In 2.771 -2.571 1.895
In 8.464 0.000 0.235
In 5.791 -2.571 3.644
Pb 5.650 1.816 0.000
Pb 5.650 -1.816 0.000
```


9.
Density functional theory data (PBE) for an optimized crystal structure of Tl12In2Pb5.

```
19
Lattice="11.371 -3.308 0.000 11.371 3.308 0.000 -2.866 0.000 7.932" Properties=species:S:1:pos:R:3 pbc="T T T"
Tl 0.030 0.000 3.155
Tl 5.711 1.656 3.159
Tl 8.519 1.671 1.455
Tl 11.358 1.671 6.477
Tl 6.365 0.000 6.081
Tl 14.166 1.656 4.773
Tl 5.711 -1.656 3.159
Tl 13.512 0.000 1.851
Tl 8.519 -1.671 1.455
Tl 11.358 -1.671 6.477
Tl 14.166 -1.656 4.773
Tl 19.847 0.000 4.776
In 11.371 1.718 0.000
In 11.371 -1.718 0.000
Pb 3.071 0.000 1.561
Pb 3.191 0.000 7.772
Pb 9.938 0.000 3.966
Pb 16.685 0.000 0.160
Pb 16.806 0.000 6.371
```


10.
11
Lattice="3.145 -6.237 0.000 3.145 6.237 0.000 -2.191 0.000 8.998" Properties=species:S:1:pos:R:3 comment="PBE Tl2In2Pb7, optimized geometry" polymorph_energy_ev_per_fu=0.000 pbc="T T T"
Tl 0.299 0.000 1.808
Tl 3.799 0.000 7.190
In 2.049 2.818 4.499
In 2.049 -2.818 4.499
Pb -0.042 2.654 7.401
Pb 0.411 0.000 5.295
Pb -0.042 -2.654 7.401
Pb 3.145 0.000 0.000
Pb 4.140 2.654 1.597
Pb 3.687 0.000 3.704
Pb 4.140 -2.654 1.597


11.
Density functional theory data (PBE) for an optimized crystal structure of Tl2In7Pb.

```
10
Lattice="5.332 -9.080 0.000 5.332 9.080 0.000 0.000 0.000 3.259" Properties=species:S:1:pos:R:3 pbc="T T T"
Tl 5.332 5.719 0.000
Tl 5.332 -5.719 0.000
In 2.671 1.663 0.000
In 2.671 -1.663 0.000
In 5.332 2.852 1.630
In 5.332 0.000 0.000
In 5.332 -2.852 1.630
In 7.993 1.663 0.000
In 7.993 -1.663 0.000
Pb 0.000 0.000 1.630
```


12.
Density functional theory data (PBE) for an optimized crystal structure of Tl2In7Pb3.

```
12
Lattice="5.411 0.000 0.000 0.000 3.486 0.000 -0.268 0.000 18.985" Properties=species:S:1:pos:R:3 pbc="T T T"
Tl 1.139 0.000 5.591
Tl 4.004 0.000 13.393
In 1.085 1.743 2.696
In 1.212 0.000 8.771
In 1.327 0.000 15.601
In 2.705 1.743 0.000
In 3.815 0.000 3.384
In 3.930 0.000 10.214
In 4.057 1.743 16.289
Pb 0.000 0.000 0.000
Pb 1.274 1.743 11.808
Pb 3.868 1.743 7.177
```


| no. | energy of formation (eV/atom) |
| --- | --- |
| 1 | 0.114 |
| 2 | 0.122 |
| 3 | 0.131 |
| 4 | 0.033 |
| 5 | 0.010 |
| 6 | 0.064 |
| 7 | 0.022 |
| 8 | 0.045 |
| 9 | 0.050 |
| 10 | 0.056 |
| 11 | 0.084 |
| 12 | 0.059 |